This record from the Alexandria database describes a relaxed structure of Th2HOs. The functional is GGA-PBE.

- raw total energy (eV per atom) = -7.623
- DOS(E_F) (states/eV/f.u.) = 1.91

Lattice parameters (Å, degrees): 5.6502 5.6508 12.7622 90.00 116.27 90.00
Space group P2/c (No. 13)
Unique sites:
Th 0.1257 0.2454 0.1263 [4 per cell]
Th 0.3728 0.2502 0.8764 [4 per cell]
H 0.1176 0.2419 0.6249 [4 per cell]
Os 0.3756 0.2496 0.3750 [4 per cell]


This record from the Alexandria database describes a relaxed structure of CaYTe2. The functional is GGA-PBE.

- formation energy without anion corrections (eV/atom) = -1.11
- raw total energy (eV per atom) = -4.793
- DOS(E_F) (states/eV/f.u.) = 3.56

Lattice parameters (Å, degrees): 7.0145 7.0145 13.8162 90.00 90.00 90.00
Space group I-42d (No. 122)
Unique sites:
Ca 0.0000 0.0000 0.0000 [4 per cell]
Y 0.0000 0.0000 0.5000 [4 per cell]
Te 0.2408 0.2500 0.6250 [8 per cell]


Number 1: mass density 11.91 g cm⁻³, polymorph energy (0 for the lowest one) 0.042 eV/atom. Number 2: mass density 3.75 g cm⁻³, polymorph energy (0 for the lowest one) 0.364 eV/atom.